First-principles (PBE-GGA) data for Nb6SnB after structural relaxation, as listed in Alexandria via LeMat-Bulk.

The volume is 17.7 Å³/atom. Its formation enthalpy at 0 K is -0.06 eV/atom. The crystal system is triclinic.

abc: 5.045 5.445 5.466
angles: 99.12 101.31 101.33
Space group P-1 (No. 2)
Symmetry-distinct sites (fractional):
Nb 0.109 0.225 0.223 (multiplicity 2)
Nb 0.267 0.806 0.431 (multiplicity 2)
Nb 0.268 0.429 0.805 (multiplicity 2)
Sn 0.500 0.000 0.000 (multiplicity 1)
B 0.500 0.500 0.500 (multiplicity 1)

First-principles (PBE-GGA) data for Zr2TeIr after structural relaxation, as listed in Alexandria via LeMat-Bulk.

The volume is 21.4 Å³/atom. The crystal system is tetragonal. The value obtained for the formation energy without anion corrections is -2.04 eV/f.u.

abc: 3.724 3.724 6.178
angles: 90.00 90.00 90.00
Space group P4mm (No. 99)
Symmetry-distinct sites (fractional):
Zr 0.000 0.000 0.000 (multiplicity 1)
Zr 0.500 0.500 0.303 (multiplicity 1)
Te 0.500 0.500 0.795 (multiplicity 1)
Ir 0.000 0.000 0.457 (multiplicity 1)

First-principles (PBE-GGA) data for La2CdAgMo after structural relaxation, as listed in Alexandria via LeMat-Bulk.

The volume is 30.5 Å³/atom. Its formation enthalpy at 0 K is 0.37 eV/atom. The crystal system is tetragonal.

abc: 5.364 5.364 5.304
angles: 90.00 90.00 90.00
Space group P4/mmm (No. 123)
Symmetry-distinct sites (fractional):
La 0.000 0.500 0.000 (multiplicity 2)
Cd 0.000 0.000 0.500 (multiplicity 1)
Ag 0.500 0.500 0.500 (multiplicity 1)
Mo 0.500 0.500 0.000 (multiplicity 1)

First-principles (PBE-GGA) data for ThScIrAu after structural relaxation, as listed in Alexandria via LeMat-Bulk.

The volume is 21.8 Å³/atom. Its formation enthalpy at 0 K is -0.69 eV/atom. The crystal system is cubic.

abc: 7.036 7.036 7.036
angles: 90.00 90.00 90.00
Space group F-43m (No. 216)
Symmetry-distinct sites (fractional):
Th 0.000 0.000 0.000 (multiplicity 4)
Sc 0.000 0.000 0.500 (multiplicity 4)
Ir 0.250 0.250 0.750 (multiplicity 4)
Au 0.250 0.250 0.250 (multiplicity 4)

First-principles (PBE-GGA) data for TeMoSN2 after structural relaxation, as listed in Alexandria via LeMat-Bulk.

Its polymorph energy (0 for the lowest one) is 1361 meV/atom. The volume is 15.2 Å³/atom. The crystal system is tetragonal. The value obtained for the formation energy without anion corrections is 9.63 eV/f.u.

abc: 3.857 3.857 5.122
angles: 90.00 90.00 90.00
Space group P4/mmm (No. 123)
Symmetry-distinct sites (fractional):
Te 0.000 0.000 0.000 (multiplicity 1)
Mo 0.500 0.500 0.000 (multiplicity 1)
S 0.000 0.000 0.500 (multiplicity 1)
N 0.000 0.500 0.500 (multiplicity 2)

First-principles (PBE-GGA) data for CsInPd2S after structural relaxation, as listed in Alexandria via LeMat-Bulk.

The volume is 36.1 Å³/atom. The crystal system is tetragonal. The value obtained for the formation energy without anion corrections is 6.14 eV/f.u.

abc: 5.179 5.179 6.735
angles: 90.00 90.00 90.00
Space group P4/mmm (No. 123)
Symmetry-distinct sites (fractional):
Cs 0.000 0.000 0.000 (multiplicity 1)
In 0.000 0.000 0.500 (multiplicity 1)
Pd 0.000 0.500 0.000 (multiplicity 2)
S 0.500 0.500 0.500 (multiplicity 1)

First-principles (PBE-GGA) data for LiCdPCl2 after structural relaxation, as listed in Alexandria via LeMat-Bulk.

Its polymorph energy (0 for the lowest one) is 102 meV/atom. The volume is 22.3 Å³/atom. The crystal system is tetragonal. The value obtained for the formation energy without anion corrections is -0.72 eV/f.u.

abc: 4.533 4.533 5.423
angles: 90.00 90.00 90.00
Space group P4/mmm (No. 123)
Symmetry-distinct sites (fractional):
Li 0.000 0.000 0.000 (multiplicity 1)
Cd 0.500 0.500 0.500 (multiplicity 1)
P 0.000 0.000 0.500 (multiplicity 1)
Cl 0.000 0.500 0.000 (multiplicity 2)

First-principles (PBE-GGA) data for Zr2ReTc after structural relaxation, as listed in Alexandria via LeMat-Bulk.

The volume is 17.8 Å³/atom. Its formation enthalpy at 0 K is -0.07 eV/atom. The crystal system is orthorhombic.

abc: 3.293 4.868 8.902
angles: 90.00 90.00 90.00
Space group Immm (No. 71)
Symmetry-distinct sites (fractional):
Zr 0.000 0.000 0.245 (multiplicity 4)
Re 0.000 0.500 0.000 (multiplicity 2)
Tc 0.000 0.500 0.500 (multiplicity 2)

First-principles (PBE-GGA) data for Zr3Be2Ni7 after structural relaxation, as listed in Alexandria via LeMat-Bulk.

The volume is 12.9 Å³/atom. Its formation enthalpy at 0 K is -0.44 eV/atom. The crystal system is trigonal.

abc: 4.8920 4.8920 22.4121
angles: 90.00 90.00 120.00
Space group R-3m (No. 166, hexagonal axes)
Symmetry-distinct sites (fractional):
Zr 0.0000 0.0000 0.0000 (multiplicity 3)
Zr 0.0000 0.0000 0.1383 (multiplicity 6)
Be 0.0000 0.0000 0.3332 (multiplicity 6)
Ni 0.0000 0.0000 0.5000 (multiplicity 3)
Ni 0.0010 0.5005 0.9226 (multiplicity 18)

First-principles (PBE-GGA) data for V4Ir5Rh2 after structural relaxation, as listed in Alexandria via LeMat-Bulk.

The volume is 18.2 Å³/atom. Its formation enthalpy at 0 K is 0.20 eV/atom. The crystal system is orthorhombic.

abc: 5.343 9.372 15.958
angles: 90.00 90.00 90.00
Space group Fmmm (No. 69)
Symmetry-distinct sites (fractional):
V 0.000 0.160 0.125 (multiplicity 16)
Ir 0.000 0.000 0.000 (multiplicity 4)
Ir 0.250 0.250 0.000 (multiplicity 8)
Ir 0.250 0.250 0.250 (multiplicity 8)
Rh 0.000 0.000 0.247 (multiplicity 8)

First-principles (PBE-GGA) data for SrLiNp2S4 after structural relaxation, as listed in Alexandria via LeMat-Bulk.

The volume is 22.6 Å³/atom. The crystal system is orthorhombic. The value obtained for the formation energy without anion corrections is -12.14 eV/f.u.

abc: 4.003 13.166 13.700
angles: 90.00 90.00 90.00
Space group Cmcm (No. 63)
Symmetry-distinct sites (fractional):
Sr 0.000 0.115 0.250 (multiplicity 4)
Li 0.000 0.153 0.750 (multiplicity 4)
Np 0.000 0.369 0.057 (multiplicity 8)
S 0.000 0.000 0.000 (multiplicity 4)
S 0.000 0.268 0.618 (multiplicity 8)
S 0.000 0.444 0.250 (multiplicity 4)

First-principles (PBE-GGA) data for BaPr2Pa3N8 after structural relaxation, as listed in Alexandria via LeMat-Bulk.

The volume is 18.8 Å³/atom. The crystal system is trigonal. The value obtained for the formation energy without anion corrections is -19.02 eV/f.u.

abc: 7.1823 7.1823 17.7127
angles: 90.00 90.00 120.00
Space group R3m (No. 160, hexagonal axes)
Symmetry-distinct sites (fractional):
Ba 0.0000 0.0000 0.0000 (multiplicity 3)
Pr 0.0000 0.0000 0.3766 (multiplicity 3)
Pr 0.0000 0.0000 0.7566 (multiplicity 3)
Pa 0.0038 0.5019 0.8773 (multiplicity 9)
N 0.0000 0.0000 0.1520 (multiplicity 3)
N 0.0000 0.0000 0.6106 (multiplicity 3)
N 0.0331 0.5166 0.1411 (multiplicity 9)
N 0.1953 0.3906 0.9433 (multiplicity 9)

Number 5 is which compound? TeMoSN2